1.
{"formula": "NbGaTc2", "functional": "PBE", "state": "optimized geometry", "lattice": [[-0.1081, 1.6151, -4.1806], [-2.0211, 2.2349, 3.3193], [6.4495, 3.8635, 1.3258]], "species": ["Tc", "Tc", "Tc", "Tc", "Ga", "Ga", "Nb", "Nb"], "fractional_positions": [[0.3333, 0.6667, 0.9063], [0.6667, 0.3333, 0.0937], [0.6667, 0.3333, 0.4063], [0.3333, 0.6667, 0.5937], [0.3333, 0.6667, 0.2500], [0.6667, 0.3333, 0.7500], [0.0000, 0.0000, 0.5000], [0.0000, 0.0000, 0.0000]], "final_energy_ev_per_atom": -8.405, "spacegroup": "No. 194"}

***

2.
{"formula": "NbGa2Tc2", "functional": "PBE", "state": "optimized geometry", "lattice": [[-2.1702, 2.1702, 4.5970], [2.1702, -2.1702, 4.5970], [2.1702, 2.1702, -4.5970]], "species": ["Tc", "Tc", "Ga", "Ga", "Nb"], "fractional_positions": [[0.6194, 0.6194, 0.0000], [0.3806, 0.3806, 0.0000], [0.7500, 0.2500, 0.5000], [0.2500, 0.7500, 0.5000], [0.0000, 0.0000, 0.0000]], "final_energy_ev_per_atom": -6.978, "spacegroup": "No. 139", "relative_energy_mev_per_atom": 194}

***

3.
{"formula": "NbGaTc", "functional": "PBE", "state": "optimized geometry", "lattice": [[-2.9901, -1.3974, 2.8139], [-0.0790, -4.1708, 1.1874], [1.1675, -1.1326, 4.0207]], "species": ["Ga", "Tc", "Nb"], "fractional_positions": [[0.2500, 0.2500, 0.2500], [0.7500, 0.7500, 0.7500], [0.0000, 0.0000, 0.0000]], "final_energy_ev_per_atom": -7.300, "spacegroup": "No. 216", "relative_energy_mev_per_atom": 294}

***

4.
{"formula": "NbGaTc2", "functional": "PBE", "state": "optimized geometry", "lattice": [[-4.0595, 0.0000, -3.2768], [-3.9158, -4.9617, 4.8511], [-2.3690, 4.7389, 2.9348]], "species": ["Tc", "Tc", "Tc", "Tc", "Tc", "Tc", "Tc", "Tc", "Nb", "Nb", "Nb", "Nb", "Ga", "Ga", "Ga", "Ga"], "fractional_positions": [[0.1504, 0.0222, 0.3098], [0.8496, 0.9778, 0.6902], [0.6504, 0.9778, 0.1902], [0.3496, 0.0222, 0.8098], [0.6504, 0.5222, 0.1902], [0.1504, 0.4778, 0.3098], [0.3496, 0.4778, 0.8098], [0.8496, 0.5222, 0.6902], [0.3674, 0.7500, 0.5154], [0.1326, 0.7500, 0.0154], [0.6326, 0.2500, 0.4846], [0.8674, 0.2500, 0.9846], [0.3776, 0.2500, 0.0965], [0.1224, 0.2500, 0.5965], [0.8776, 0.7500, 0.4035], [0.6224, 0.7500, 0.9035]], "final_energy_ev_per_atom": -8.532, "spacegroup": "No. 62"}

***

5.
{"formula": "NbGaTc2", "functional": "PBE", "state": "optimized geometry", "lattice": [[3.2237, 0.0000, 0.0000], [0.0000, 3.2237, 0.0000], [0.0000, 0.0000, 5.9175]], "species": ["Tc", "Tc", "Nb", "Ga"], "fractional_positions": [[0.5000, 0.5000, 0.7617], [0.5000, 0.5000, 0.2383], [0.0000, 0.0000, 0.5000], [0.0000, 0.0000, 0.0000]], "final_energy_ev_per_atom": -8.669, "spacegroup": "No. 123"}

***

6.
{"formula": "ThNbGa", "functional": "PBE", "state": "optimized geometry", "lattice": [[-0.8807, -4.3096, -1.7220], [-1.3729, -3.4670, 2.8998], [-4.4371, -1.6106, -0.1789]], "species": ["Nb", "Th", "Ga"], "fractional_positions": [[0.2500, 0.2500, 0.2500], [0.7500, 0.7500, 0.7500], [0.0000, 0.0000, 0.0000]], "final_energy_ev_per_atom": -6.620, "spacegroup": "No. 216", "relative_energy_mev_per_atom": 0}

***

7.
{"formula": "NbTl2Ga", "functional": "PBE", "state": "optimized geometry", "lattice": [[3.4325, 2.8054, 2.5189], [-1.4765, 4.1835, 2.5131], [0.0072, 0.0469, 5.0985]], "species": ["Tl", "Tl", "Nb", "Ga"], "fractional_positions": [[0.7500, 0.7500, 0.7500], [0.5000, 0.5000, 0.5000], [0.2500, 0.2500, 0.2500], [0.0000, 0.0000, 0.0000]], "final_energy_ev_per_atom": -3.804, "spacegroup": "No. 216"}

***

8.
{"formula": "NbGaW2", "functional": "PBE", "state": "optimized geometry", "lattice": [[0.0000, 3.1988, 3.1988], [3.1988, 0.0000, 3.1988], [3.1988, 3.1988, 0.0000]], "species": ["Ga", "W", "W", "Nb"], "fractional_positions": [[0.5000, 0.5000, 0.5000], [0.0000, 0.0000, 0.0000], [0.7500, 0.7500, 0.7500], [0.2500, 0.2500, 0.2500]], "final_energy_ev_per_atom": -9.599, "spacegroup": "No. 216"}